Material: CdReNi2N
Method: DFT, PBE
State: optimized geometry

Results
**E_tot**: -6.50 eV/atom
**D(E_F)**: 4.477 states/eV/f.u.

Lattice parameters (Å, degrees): 3.9881 3.9881 3.9551 90.00 90.00 90.00
Fractional positions:
Re: 0.0000 0.0000 0.5000
N: 0.0000 0.0000 0.0000
Ni: 0.0000 0.5000 0.0000
Ni: 0.5000 0.0000 0.0000
Cd: 0.5000 0.5000 0.5000

Material: CdNi2RhN
Method: DFT, PBE
State: optimized geometry

Results
**E_tot**: -5.64 eV/atom
**D(E_F)**: 5.377 states/eV/f.u.

Lattice parameters (Å, degrees): 3.8867 3.8867 4.0994 90.00 90.00 90.00
Fractional positions:
Ni: 0.0000 0.5000 0.0000
Ni: 0.5000 0.0000 0.0000
N: 0.0000 0.0000 0.0000
Rh: 0.0000 0.0000 0.5000
Cd: 0.5000 0.5000 0.5000

Material: CdNiRh2N
Method: DFT, PBE
State: optimized geometry

Results
**E_tot**: -5.93 eV/atom
**D(E_F)**: 4.650 states/eV/f.u.

Lattice parameters (Å, degrees): 4.1457 4.1457 3.8388 90.00 90.00 90.00
Fractional positions:
Ni: 0.0000 0.0000 0.5000
N: 0.0000 0.0000 0.0000
Rh: 0.0000 0.5000 0.0000
Rh: 0.5000 0.0000 0.0000
Cd: 0.5000 0.5000 0.5000

Material: CdNi2RuN
Method: DFT, PBE
State: optimized geometry

Results
**E_tot**: -5.97 eV/atom
**D(E_F)**: 2.802 states/eV/f.u.

Lattice parameters (Å, degrees): 3.9553 3.9553 3.9452 90.00 90.00 90.00
Fractional positions:
Ru: 0.0000 0.0000 0.5000
N: 0.0000 0.0000 0.0000
Ni: 0.0000 0.5000 0.0000
Ni: 0.5000 0.0000 0.0000
Cd: 0.5000 0.5000 0.5000

Material: CdNiRu2N
Method: DFT, PBE
State: optimized geometry

Results
**E_tot**: -6.53 eV/atom
**D(E_F)**: 6.172 states/eV/f.u.

Lattice parameters (Å, degrees): 4.0692 4.0692 3.9503 90.00 90.00 90.00
Fractional positions:
Ru: 0.0000 0.5000 0.0000
Ru: 0.5000 0.0000 0.0000
N: 0.0000 0.0000 0.0000
Ni: 0.0000 0.0000 0.5000
Cd: 0.5000 0.5000 0.5000

Material: CdNiSN2
Method: DFT, PBE
State: optimized geometry

Results
**E_tot**: -3.43 eV/atom
**Offset from the most stable computed form**: 5.34 eV per formula unit
**D(E_F)**: 3.792 states/eV/f.u.

Lattice parameters (Å, degrees): 4.1199 4.1199 5.4795 90.00 90.00 90.00
Site moments in Bohr magnetons follow the coordinates.
Fractional positions:
Ni: 0.5000 0.5000 0.5000  1.23
S: 0.0000 0.0000 0.5000  0.31
N: 0.0000 0.5000 0.0000  1.16
N: 0.5000 0.0000 0.0000  1.16
Cd: 0.0000 0.0000 0.0000  0.09

Material: CdNiS2N
Method: DFT, PBE
State: optimized geometry

Results
**E_tot**: -4.20 eV/atom
**Offset from the most stable computed form**: 0.00 eV per formula unit
**D(E_F)**: 3.657 states/eV/f.u.

Lattice parameters (Å, degrees): 4.8476 4.8476 3.4235 90.00 90.00 90.00
Site moments in Bohr magnetons follow the coordinates.
Fractional positions:
Ni: 0.0000 0.0000 0.0000  0.04
S: 0.0000 0.5000 0.0000  0.03
S: 0.5000 0.0000 0.0000  0.03
N: 0.0000 0.0000 0.5000  0.18
Cd: 0.5000 0.5000 0.5000  0.00

Material: CdNiS2N
Method: DFT, PBE
State: optimized geometry

Results
**E_tot**: -4.03 eV/atom
**Offset from the most stable computed form**: 0.83 eV per formula unit
**D(E_F)**: 3.690 states/eV/f.u.

Lattice parameters (Å, degrees): 4.6444 3.5599 4.6444 90.00 90.00 90.00
Fractional positions:
Ni: 0.0000 0.5000 0.0000
S: 0.0000 0.0000 0.5000
S: 0.5000 0.0000 0.0000
N: 0.0000 0.0000 0.0000
Cd: 0.5000 0.5000 0.5000

Material: CdNiSN2
Method: DFT, PBE
State: optimized geometry

Results
**E_tot**: -4.50 eV/atom
**Offset from the most stable computed form**: 0.00 eV per formula unit
**D(E_F)**: 1.736 states/eV/f.u.

Lattice parameters (Å, degrees): 3.7262 3.7262 5.3149 90.00 90.00 90.00
Site moments in Bohr magnetons follow the coordinates.
Fractional positions:
Ni: 0.0000 0.0000 0.0000  0.78
S: 0.0000 0.0000 0.5000  0.16
N: 0.0000 0.5000 0.0000  1.01
N: 0.5000 0.0000 0.0000  1.01
Cd: 0.5000 0.5000 0.5000  -0.01

Material: CdNiS2N
Method: DFT, PBE
State: optimized geometry

Results
**E_tot**: -2.96 eV/atom
**Offset from the most stable computed form**: 6.17 eV per formula unit
**D(E_F)**: 9.982 states/eV/f.u.

Lattice parameters (Å, degrees): 5.0103 5.0103 4.0402 90.00 90.00 90.00
Site moments in Bohr magnetons follow the coordinates.
Fractional positions:
Ni: 0.5000 0.5000 0.5000  1.18
S: 0.0000 0.5000 0.0000  0.21
S: 0.5000 0.0000 0.0000  0.21
N: 0.0000 0.0000 0.5000  -0.03
Cd: 0.0000 0.0000 0.0000  0.00

Material: CdNiSe2N
Method: DFT, PBE
State: optimized geometry

Results
**E_tot**: -4.04 eV/atom
**Offset from the most stable computed form**: 0.00 eV per formula unit
**D(E_F)**: 1.912 states/eV/f.u.

Lattice parameters (Å, degrees): 5.1319 5.1319 3.4143 90.00 90.00 90.00
Fractional positions:
Ni: 0.0000 0.0000 0.0000
N: 0.0000 0.0000 0.5000
Se: 0.0000 0.5000 0.0000
Se: 0.5000 0.0000 0.0000
Cd: 0.5000 0.5000 0.5000

Material: CdNiSe2N
Method: DFT, PBE
State: optimized geometry

Results
**E_tot**: -2.94 eV/atom
**Offset from the most stable computed form**: 5.48 eV per formula unit
**D(E_F)**: 7.537 states/eV/f.u.

Lattice parameters (Å, degrees): 5.2820 5.2820 4.1072 90.00 90.00 90.00
Site moments in Bohr magnetons follow the coordinates.
Fractional positions:
Ni: 0.5000 0.5000 0.5000  1.13
N: 0.0000 0.0000 0.5000  1.13
Se: 0.0000 0.5000 0.0000  0.30
Se: 0.5000 0.0000 0.0000  0.30
Cd: 0.0000 0.0000 0.0000  0.02

Number 1: uncorrected formation energy 0.1479 eV per atom. Number 2: uncorrected formation energy -0.0096 eV per atom. Number 3: uncorrected formation energy 0.0127 eV per atom. Number 4: uncorrected formation energy 0.0451 eV per atom. Number 5: uncorrected formation energy 0.1887 eV per atom. Number 6: uncorrected formation energy 2.0657 eV per atom. Number 7: uncorrected formation energy 0.4582 eV per atom. Number 8: uncorrected formation energy 0.6238 eV per atom. Number 9: uncorrected formation energy 0.9968 eV per atom. Number 10: uncorrected formation energy 1.6915 eV per atom. Number 11: uncorrected formation energy 0.3602 eV per atom. Number 12: uncorrected formation energy 1.4570 eV per atom.